The following is a DFT calculation (PBE+U) of a geometry-optimized BaMn4ZnO8 structure.

The structure belongs to space group P-31m (No. 162); the cell edges are 5.5023, 5.5023 and 7.2195 Å and the angles 90.00°, 90.00° and 120.00°. The inequivalent atoms are Ba at (0.0000, 0.0000, 0.0000), Mn at (0.3333, 0.6667, 0.2624), Zn at (0.0000, 0.0000, 0.5000), O at (0.0000, 0.3112, 0.3193) and O at (0.3333, 0.6667, 0.0000).

The crystal system is trigonal. As for the density of states at the Fermi level: 3.464 states/eV/cell. As for the calculated total energy: -6.729 eV/atom. The total magnetization is 16.000 μB/cell.